(1)
! Mg2Ag3Au8 | Alexandria via LeMat-Bulk | PBE | optimized geometry; values from VASP
! - density of states at the Fermi level (states/eV/cell) = 3.24
! - energy relative to the lowest polymorph listed for this composition (meV per atom) = 0.0
! - calculated formation energy (eV/atom) = -0.167
! - space-group type = No. 12
&SYSTEM
  ibrav = 0, nat = 13, ntyp = 3
/
ATOMIC_SPECIES
Mg 24.30 Mg.upf
Ag 107.87 Ag.upf
Au 196.97 Au.upf
CELL_PARAMETERS angstrom
-0.259 -3.546 3.358
6.196 0.749 3.951
-2.183 3.449 6.156
ATOMIC_POSITIONS angstrom
Mg 1.134 0.013 4.290
Mg 2.621 0.639 9.175
Ag -0.129 -1.773 1.679
Ag -0.346 2.857 5.673
Ag 4.359 1.341 4.434
Au 2.188 1.614 6.335
Au 1.567 -0.962 7.130
Au 0.483 -2.589 5.002
Au 3.272 3.240 8.463
Au 3.316 -1.596 5.006
Au -0.968 -0.216 6.133
Au 4.722 0.868 7.332
Au 0.439 2.248 8.459

---

(2)
! MgAg2Au5 | Alexandria via LeMat-Bulk | PBE | optimized geometry; values from VASP
! - density of states at the Fermi level (states/eV/cell) = 4.69
! - energy relative to the lowest polymorph listed for this composition (meV per atom) = 109.6
! - calculated formation energy (eV/atom) = -0.113
! - space-group type = No. 140
&SYSTEM
  ibrav = 0, nat = 16, ntyp = 3
/
ATOMIC_SPECIES
Mg 24.30 Mg.upf
Ag 107.87 Ag.upf
Au 196.97 Au.upf
CELL_PARAMETERS angstrom
7.247 0.000 0.000
0.000 7.247 0.000
-3.623 -3.623 5.678
ATOMIC_POSITIONS angstrom
Mg 3.623 3.623 2.839
Mg 0.000 0.000 2.839
Ag 1.046 2.577 0.000
Ag 4.670 1.046 0.000
Ag 2.577 6.200 0.000
Ag 6.200 4.670 0.000
Au 1.094 2.529 3.785
Au 4.718 -1.094 1.893
Au 0.000 0.000 0.000
Au 3.623 3.623 0.000
Au -1.094 4.718 3.785
Au 2.529 -1.094 3.785
Au 4.718 1.094 3.785
Au 1.094 4.718 1.893
Au -1.094 2.529 1.893
Au 2.529 1.094 1.893